## ZrReAg3 (PBEsol)

Data for crystalline ZrReAg3 at its relaxed geometry.

Lattice parameters (Å, degrees): 4.8434 4.8434 4.8434 90.00 90.00 90.00
Space group Pm-3m (No. 221)
Inequivalent atoms, fractional coordinates:
1 Zr 0.0000 0.0000 0.0000
2 Re 0.5000 0.5000 0.5000
3 Ag 0.0000 0.5000 0.5000

Summary:
offset from the most stable computed form: 0.000 eV per atom
VASP energy: -4.843 eV/atom
size of the total moment: 0.000 μB per atom